No. 1
VASP calculation (GGA-PBE) on a relaxed structure of PuVGa4.

Geometry as CIF:
```
data_PuVGa4
_chemical_formula_sum 'Pu4 V4 Ga16'
_space_group_name_H-M_alt 'F -4 3 m'
_space_group_IT_number 216
_space_group_name_Hall 'F -4 2 3'
_cell_length_a 7.522
_cell_length_b 7.522
_cell_length_c 7.522
_cell_angle_alpha 90.00
_cell_angle_beta 90.00
_cell_angle_gamma 90.00
loop_
_atom_site_label
_atom_site_type_symbol
_atom_site_fract_x
_atom_site_fract_y
_atom_site_fract_z
Pu1 Pu 0.000 0.000 0.000
V1 V 0.250 0.250 0.250
Ga1 Ga 0.125 0.125 0.625
```

Summary:
- formation enthalpy at 0 K (kJ/mol of atoms) = -5.7
- uncorrected energy (eV/f.u.) = -35.915

No. 2
VASP calculation (GGA-PBE) on a relaxed structure of PuVGa.

Geometry as CIF:
```
data_PuVGa
_chemical_formula_sum 'Pu1 V1 Ga1'
_space_group_name_H-M_alt 'P -6 m 2'
_space_group_IT_number 187
_space_group_name_Hall 'P -6 2'
_cell_length_a 4.7875
_cell_length_b 4.7875
_cell_length_c 2.4173
_cell_angle_alpha 90.00
_cell_angle_beta 90.00
_cell_angle_gamma 120.00
loop_
_atom_site_label
_atom_site_type_symbol
_atom_site_fract_x
_atom_site_fract_y
_atom_site_fract_z
Pu1 Pu 0.0000 0.0000 0.0000
V1 V 0.3333 0.6667 0.5000
Ga1 Ga 0.6667 0.3333 0.5000
```

Summary:
- polymorph energy (0 for the lowest one) (kJ/mol of formula units) = 10
- formation enthalpy at 0 K (kJ/mol of atoms) = 19.8
- uncorrected energy (eV/f.u.) = -25.861

No. 3
VASP calculation (GGA-PBE) on a relaxed structure of Pu3VGa12.

Geometry as CIF:
```
data_Pu3VGa12
_chemical_formula_sum 'Pu3 V1 Ga12'
_space_group_name_H-M_alt 'P 4/m m m'
_space_group_IT_number 123
_space_group_name_Hall '-P 4 2'
_cell_length_a 4.236
_cell_length_b 4.236
_cell_length_c 16.535
_cell_angle_alpha 90.00
_cell_angle_beta 90.00
_cell_angle_gamma 90.00
loop_
_atom_site_label
_atom_site_type_symbol
_atom_site_fract_x
_atom_site_fract_y
_atom_site_fract_z
Pu1 Pu 0.000 0.000 0.000
Pu2 Pu 0.000 0.000 0.263
V1 V 0.000 0.000 0.500
Ga1 Ga 0.000 0.500 0.130
Ga2 Ga 0.000 0.500 0.390
Ga3 Ga 0.500 0.500 0.000
Ga4 Ga 0.500 0.500 0.257
Ga5 Ga 0.500 0.500 0.500
```

Summary:
- formation enthalpy at 0 K (kJ/mol of atoms) = -28.5
- uncorrected energy (eV/f.u.) = -93.159

No. 4
VASP calculation (GGA-PBE) on a relaxed structure of Pu2VGa.

Geometry as CIF:
```
data_Pu2VGa
_chemical_formula_sum 'Pu2 V1 Ga1'
_space_group_name_H-M_alt 'P 4/m m m'
_space_group_IT_number 123
_space_group_name_Hall '-P 4 2'
_cell_length_a 3.633
_cell_length_b 3.633
_cell_length_c 4.808
_cell_angle_alpha 90.00
_cell_angle_beta 90.00
_cell_angle_gamma 90.00
loop_
_atom_site_label
_atom_site_type_symbol
_atom_site_fract_x
_atom_site_fract_y
_atom_site_fract_z
Pu1 Pu 0.000 0.500 0.000
V1 V 0.000 0.000 0.500
Ga1 Ga 0.500 0.500 0.500
```

Summary:
- polymorph energy (0 for the lowest one) (kJ/mol of formula units) = 0
- formation enthalpy at 0 K (kJ/mol of atoms) = 24.8
- uncorrected energy (eV/f.u.) = -39.783

No. 5
VASP calculation (GGA-PBE) on a relaxed structure of PuVGa2.

Geometry as CIF:
```
data_PuVGa2
_chemical_formula_sum 'Pu3 V3 Ga6'
_space_group_name_H-M_alt 'R -3 m'
_space_group_IT_number 166
_space_group_name_Hall '-R 3 2"'
_cell_length_a 2.8616
_cell_length_b 2.8616
_cell_length_c 28.9816
_cell_angle_alpha 90.00
_cell_angle_beta 90.00
_cell_angle_gamma 120.00
loop_
_atom_site_label
_atom_site_type_symbol
_atom_site_fract_x
_atom_site_fract_y
_atom_site_fract_z
Pu1 Pu 0.0000 0.0000 0.0000
V1 V 0.0000 0.0000 0.5000
Ga1 Ga 0.0000 0.0000 0.2407
```

Summary:
- polymorph energy (0 for the lowest one) (kJ/mol of formula units) = 59
- formation enthalpy at 0 K (kJ/mol of atoms) = -2.6
- uncorrected energy (eV/f.u.) = -29.613

No. 6
VASP calculation (GGA-PBE) on a relaxed structure of Pu2VGa.

Geometry as CIF:
```
data_Pu2VGa
_chemical_formula_sum 'Pu6 V3 Ga3'
_space_group_name_H-M_alt 'R -3 m'
_space_group_IT_number 166
_space_group_name_Hall '-R 3 2"'
_cell_length_a 2.9150
_cell_length_b 2.9150
_cell_length_c 31.2099
_cell_angle_alpha 90.00
_cell_angle_beta 90.00
_cell_angle_gamma 120.00
loop_
_atom_site_label
_atom_site_type_symbol
_atom_site_fract_x
_atom_site_fract_y
_atom_site_fract_z
Pu1 Pu 0.0000 0.0000 0.0816
V1 V 0.0000 0.0000 0.0000
Ga1 Ga 0.0000 0.0000 0.5000
```

Summary:
- polymorph energy (0 for the lowest one) (kJ/mol of formula units) = 54
- formation enthalpy at 0 K (kJ/mol of atoms) = 38.2
- uncorrected energy (eV/f.u.) = -39.226

No. 7
VASP calculation (GGA-PBE) on a relaxed structure of PuVGa.

Geometry as CIF:
```
data_PuVGa
_chemical_formula_sum 'Pu2 V2 Ga2'
_space_group_name_H-M_alt 'P 4/n m m'
_space_group_IT_number 129
_cell_length_a 4.141
_cell_length_b 4.141
_cell_length_c 6.287
_cell_angle_alpha 90.00
_cell_angle_beta 90.00
_cell_angle_gamma 90.00
loop_
_space_group_symop_operation_xyz
'x,y,z'
'-x,-y,-z'
'-y+1/2,x,z'
'y+1/2,-x,-z'
'-x+1/2,-y+1/2,z'
'x+1/2,y+1/2,-z'
'y,-x+1/2,z'
'-y,x+1/2,-z'
'x+1/2,-y,-z'
'-x+1/2,y,z'
'-y,-x,-z'
'y,x,z'
'-x,y+1/2,-z'
'x,-y+1/2,z'
'y+1/2,x+1/2,-z'
'-y+1/2,-x+1/2,z'
loop_
_atom_site_label
_atom_site_type_symbol
_atom_site_fract_x
_atom_site_fract_y
_atom_site_fract_z
Pu1 Pu 0.250 0.250 0.121
V1 V 0.250 0.250 0.771
Ga1 Ga 0.250 0.750 0.500
```

Summary:
- polymorph energy (0 for the lowest one) (kJ/mol of formula units) = 0
- formation enthalpy at 0 K (kJ/mol of atoms) = 16.6
- uncorrected energy (eV/f.u.) = -25.961

No. 8
VASP calculation (GGA-PBE) on a relaxed structure of PuVGa2.

Geometry as CIF:
```
data_PuVGa2
_chemical_formula_sum 'Pu1 V1 Ga2'
_space_group_name_H-M_alt 'P 4/m m m'
_space_group_IT_number 123
_space_group_name_Hall '-P 4 2'
_cell_length_a 2.873
_cell_length_b 2.873
_cell_length_c 8.358
_cell_angle_alpha 90.00
_cell_angle_beta 90.00
_cell_angle_gamma 90.00
loop_
_atom_site_label
_atom_site_type_symbol
_atom_site_fract_x
_atom_site_fract_y
_atom_site_fract_z
Pu1 Pu 0.000 0.000 0.000
V1 V 0.000 0.000 0.500
Ga1 Ga 0.500 0.500 0.283
```

Summary:
- polymorph energy (0 for the lowest one) (kJ/mol of formula units) = 0
- formation enthalpy at 0 K (kJ/mol of atoms) = -17.3
- uncorrected energy (eV/f.u.) = -30.223

No. 9
VASP calculation (GGA-PBE) on a relaxed structure of PuGaW.

Geometry as CIF:
```
data_PuGaW
_chemical_formula_sum 'Pu4 Ga4 W4'
_space_group_name_H-M_alt 'P n m a'
_space_group_IT_number 62
_cell_length_a 7.839
_cell_length_b 3.329
_cell_length_c 8.283
_cell_angle_alpha 90.00
_cell_angle_beta 90.00
_cell_angle_gamma 90.00
loop_
_space_group_symop_operation_xyz
'x,y,z'
'-x,-y,-z'
'-x+1/2,-y,z+1/2'
'x+1/2,y,-z+1/2'
'x+1/2,-y+1/2,-z+1/2'
'-x+1/2,y+1/2,z+1/2'
'-x,y+1/2,-z'
'x,-y+1/2,z'
loop_
_atom_site_label
_atom_site_type_symbol
_atom_site_fract_x
_atom_site_fract_y
_atom_site_fract_z
Pu1 Pu 0.021 0.250 0.098
Ga1 Ga 0.216 0.750 0.333
W1 W 0.106 0.250 0.563
```

Summary:
- formation enthalpy at 0 K (kJ/mol of atoms) = 12.9
- uncorrected energy (eV/f.u.) = -29.912

No. 10
VASP calculation (GGA-PBE) on a relaxed structure of PuGa2W.

Geometry as CIF:
```
data_PuGa2W
_chemical_formula_sum 'Pu3 Ga6 W3'
_space_group_name_H-M_alt 'R -3 m'
_space_group_IT_number 166
_space_group_name_Hall '-R 3 2"'
_cell_length_a 2.8778
_cell_length_b 2.8778
_cell_length_c 31.4029
_cell_angle_alpha 90.00
_cell_angle_beta 90.00
_cell_angle_gamma 120.00
loop_
_atom_site_label
_atom_site_type_symbol
_atom_site_fract_x
_atom_site_fract_y
_atom_site_fract_z
Pu1 Pu 0.0000 0.0000 0.0000
Ga1 Ga 0.0000 0.0000 0.0950
W1 W 0.0000 0.0000 0.5000
```

Summary:
- formation enthalpy at 0 K (kJ/mol of atoms) = 26.3
- uncorrected energy (eV/f.u.) = -32.250